DFT (PBE-GGA) results for crystalline Ho2Tm3LuSb2Os at its relaxed geometry.

Lattice parameters (Å, degrees): 4.1893 8.0911 8.0911 120.19 90.00 90.00
Closest atoms and distances in Å follow each position.
Element x y z (fractional)
Ho (0.0000, 0.9989, 0.6084)  1 Os 3.18, 4 Sb 3.26, 4 Tm 3.46-3.47
Lu (0.0000, 0.3874, 0.3874)  1 Os 3.08, 4 Sb 3.26, 4 Tm 3.44
Sb (0.5000, 0.3329, 0.6650)  3 Tm 3.14-3.17, 4 Ho 3.26, 2 Lu 3.26
Tm (0.5000, 0.0002, 0.2373)  2 Os 2.83, 1 Sb 3.14
Sb (0.5000, 0.6650, 0.3329)  3 Tm 3.14-3.17, 4 Ho 3.26, 2 Lu 3.26
Ho (0.0000, 0.6084, 0.9989)  1 Os 3.18, 4 Sb 3.26, 4 Tm 3.46-3.47
Os (0.0000, 0.0051, 0.0051)  6 Tm 2.83-2.85, 1 Lu 3.08
Tm (0.5000, 0.2373, 0.0002)  2 Os 2.83, 1 Sb 3.14
Tm (0.5000, 0.7647, 0.7647)  2 Os 2.85, 2 Sb 3.17

Summary:
calculated total energy = -52.7 eV for the cell shown
symmetry = Amm2, No. 38